CaNd2AuN, relaxed, DFT GGA-PBE; electronic total energy = -5.40 eV/atom; theoretical density = 7.5 Mg/m³; space group = No. 123; DOS at the Fermi energy = 4.84 states/eV/f.u.
1.0
4.992 0.000 0.000
0.000 4.992 0.000
0.000 0.000 4.776
N Nd Au Ca
1 2 1 1
Direct
0.000 0.000 0.000 N
0.000 0.500 0.000 Nd
0.500 0.000 0.000 Nd
0.500 0.500 0.500 Au
0.000 0.000 0.500 Ca

***

CaNiAu2N, relaxed, DFT GGA-PBE; electronic total energy = -4.46 eV/atom; theoretical density = 9.3 Mg/m³; space group = No. 123; DOS at the Fermi energy = 3.07 states/eV/f.u.
1.0
-1.849 -0.674 -4.679
-3.248 -0.357 1.335
-0.728 5.005 -0.433
N Ni Au Ca
1 1 2 1
Direct
0.000 0.500 0.000 N
0.000 0.000 0.000 Ni
0.000 0.000 0.500 Au
0.500 0.000 0.000 Au
0.500 0.500 0.500 Ca

***

- Which value of DOS at the Fermi energy does entry 2 give?
  3.07 states/eV/f.u.

***

- Number 1 is which compound?
  CaNd2AuN

***

- Which formula does entry 2 have?
  CaNiAu2N